Entry 1:
{
  "formula": "LaBP2O8",
  "functional": "PBE-GGA",
  "state": "optimized geometry",
  "lattice": [[-2.086, -3.975, -1.923], [1.574, -0.062, 4.622], [-5.825, 2.083, 2.012]],
  "species": ["La", "B", "P", "P", "O", "O", "O", "O", "O", "O", "O", "O"],
  "frac_coords": [[0.000, 0.000, 0.500], [0.000, 0.000, 0.000], [0.333, 0.667, 0.774], [0.667, 0.333, 0.226], [0.158, 0.317, 0.840], [0.158, 0.842, 0.840], [0.683, 0.842, 0.840], [0.317, 0.158, 0.160], [0.667, 0.333, 0.464], [0.333, 0.667, 0.536], [0.842, 0.683, 0.160], [0.842, 0.158, 0.160]],
  "total_magnetization_mub_per_atom": 0.00
}

=====

Entry 2:
{
  "formula": "SrTcCl2",
  "functional": "PBE-GGA",
  "state": "optimized geometry",
  "lattice": [[-2.998, -0.434, -3.824], [-1.966, -3.995, 1.994], [-2.495, 2.086, 1.719]],
  "species": ["Sr", "Tc", "Cl", "Cl"],
  "frac_coords": [[0.500, 0.000, 0.500], [0.000, 0.500, 0.500], [0.000, 0.000, 0.000], [0.500, 0.500, 0.000]],
  "polymorph_energy_mev_per_atom": 200,
  "total_magnetization_mub_per_atom": 0.81
}

=====

Calculated raw formation energy, -2.278, -0.335 eV/atom (same order as the records).